An optimized crystal structure of Ga2CoPIr. Source: Alexandria, functional GGA-PBE.

a b c (Å): 4.717 4.717 4.343
angles (deg): 90.00 90.00 90.00
Space group P4/mmm (No. 123)
Inequivalent atoms, fractional coordinates:
Ga  0.000  0.500  0.000 (multiplicity 2)
Co  0.000  0.000  0.500 (multiplicity 1)
P  0.500  0.500  0.000 (multiplicity 1)
Ir  0.500  0.500  0.500 (multiplicity 1)

Output
E_form	0.8491	eV per atom

---

An optimized crystal structure of PaGaCoIr. Source: Alexandria, functional GGA-PBE.

a b c (Å): 6.501 6.501 6.501
angles (deg): 90.00 90.00 90.00
Space group F-43m (No. 216)
Inequivalent atoms, fractional coordinates:
Pa  0.000  0.000  0.000 (multiplicity 4)
Ga  0.000  0.000  0.500 (multiplicity 4)
Co  0.250  0.250  0.250 (multiplicity 4)
Ir  0.250  0.250  0.750 (multiplicity 4)

Output
E_form	-0.4121	eV per atom

---

An optimized crystal structure of GaCoIrPd. Source: Alexandria, functional GGA-PBE.

a b c (Å): 6.053 6.053 6.053
angles (deg): 90.00 90.00 90.00
Space group F-43m (No. 216)
Inequivalent atoms, fractional coordinates:
Ga  0.000  0.000  0.000 (multiplicity 4)
Co  0.000  0.000  0.500 (multiplicity 4)
Ir  0.250  0.250  0.750 (multiplicity 4)
Pd  0.250  0.250  0.250 (multiplicity 4)

Output
E_form	-0.1767	eV per atom

---

An optimized crystal structure of GaCoIrPd2. Source: Alexandria, functional GGA-PBE.

a b c (Å): 4.531 4.531 4.598
angles (deg): 90.00 90.00 90.00
Space group P4/mmm (No. 123)
Inequivalent atoms, fractional coordinates:
Ga  0.000  0.000  0.000 (multiplicity 1)
Co  0.500  0.500  0.500 (multiplicity 1)
Ir  0.000  0.000  0.500 (multiplicity 1)
Pd  0.000  0.500  0.000 (multiplicity 2)

Output
E_form	0.9404	eV per atom

---

An optimized crystal structure of PmGa4CoIr2. Source: Alexandria, functional GGA-PBE.

a b c (Å): 4.2241 4.2241 25.8805
angles (deg): 90.00 90.00 120.00
Space group R-3m (No. 166, hexagonal axes)
Inequivalent atoms, fractional coordinates:
Pm  0.0000  0.0000  0.0000 (multiplicity 3)
Ga  0.0000  0.0000  0.1337 (multiplicity 6)
Ga  0.0000  0.0000  0.4028 (multiplicity 6)
Co  0.0000  0.0000  0.5000 (multiplicity 3)
Ir  0.0000  0.0000  0.2337 (multiplicity 6)

Output
E_form	-0.5215	eV per atom

---

An optimized crystal structure of PmGa4Co2Ir. Source: Alexandria, functional GGA-PBE.

a b c (Å): 4.1229 4.1229 26.5268
angles (deg): 90.00 90.00 120.00
Space group R-3m (No. 166, hexagonal axes)
Inequivalent atoms, fractional coordinates:
Pm  0.0000  0.0000  0.0000 (multiplicity 3)
Ga  0.0000  0.0000  0.1289 (multiplicity 6)
Ga  0.0000  0.0000  0.4032 (multiplicity 6)
Co  0.0000  0.0000  0.2313 (multiplicity 6)
Ir  0.0000  0.0000  0.5000 (multiplicity 3)

Output
E_form	-0.4021	eV per atom

---

An optimized crystal structure of PrGa2CoIr. Source: Alexandria, functional GGA-PBE.

a b c (Å): 4.214 4.214 10.212
angles (deg): 90.00 90.00 90.00
Space group I-4m2 (No. 119)
Inequivalent atoms, fractional coordinates:
Pr  0.000  0.000  0.000 (multiplicity 2)
Ga  0.000  0.000  0.371 (multiplicity 4)
Co  0.000  0.500  0.250 (multiplicity 2)
Ir  0.000  0.500  0.750 (multiplicity 2)

Output
E_form	-0.5357	eV per atom

---

An optimized crystal structure of Pr2Ga4CoIr3. Source: Alexandria, functional GGA-PBE.

a b c (Å): 4.266 4.266 10.262
angles (deg): 90.00 90.00 90.00
Space group P-4m2 (No. 115)
Inequivalent atoms, fractional coordinates:
Pr  0.000  0.500  0.238 (multiplicity 2)
Ga  0.000  0.000  0.500 (multiplicity 1)
Ga  0.000  0.500  0.880 (multiplicity 2)
Ga  0.500  0.500  0.500 (multiplicity 1)
Co  0.500  0.500  0.000 (multiplicity 1)
Ir  0.000  0.000  0.000 (multiplicity 1)
Ir  0.000  0.500  0.634 (multiplicity 2)

Output
E_form	-0.6187	eV per atom

---

An optimized crystal structure of PuGaCoIr. Source: Alexandria, functional GGA-PBE.

a b c (Å): 6.420 6.420 6.420
angles (deg): 90.00 90.00 90.00
Space group F-43m (No. 216)
Inequivalent atoms, fractional coordinates:
Pu  0.000  0.000  0.000 (multiplicity 4)
Ga  0.000  0.000  0.500 (multiplicity 4)
Co  0.250  0.250  0.750 (multiplicity 4)
Ir  0.250  0.250  0.250 (multiplicity 4)

Output
E_form	-0.2617	eV per atom

---

An optimized crystal structure of SmGa4CoIr2. Source: Alexandria, functional GGA-PBE.

a b c (Å): 4.2215 4.2215 25.7689
angles (deg): 90.00 90.00 120.00
Space group R-3m (No. 166, hexagonal axes)
Inequivalent atoms, fractional coordinates:
Sm  0.0000  0.0000  0.0000 (multiplicity 3)
Ga  0.0000  0.0000  0.1336 (multiplicity 6)
Ga  0.0000  0.0000  0.4024 (multiplicity 6)
Co  0.0000  0.0000  0.5000 (multiplicity 3)
Ir  0.0000  0.0000  0.2341 (multiplicity 6)

Output
E_form	-0.5202	eV per atom

---

An optimized crystal structure of SmGa4Co2Ir. Source: Alexandria, functional GGA-PBE.

a b c (Å): 4.1200 4.1200 26.4143
angles (deg): 90.00 90.00 120.00
Space group R-3m (No. 166, hexagonal axes)
Inequivalent atoms, fractional coordinates:
Sm  0.0000  0.0000  0.0000 (multiplicity 3)
Ga  0.0000  0.0000  0.1287 (multiplicity 6)
Ga  0.0000  0.0000  0.4027 (multiplicity 6)
Co  0.0000  0.0000  0.2318 (multiplicity 6)
Ir  0.0000  0.0000  0.5000 (multiplicity 3)

Output
E_form	-0.4019	eV per atom

---

An optimized crystal structure of SrGaCo2Ir. Source: Alexandria, functional GGA-PBE.

a b c (Å): 4.666 4.666 5.120
angles (deg): 90.00 90.00 90.00
Space group P4/mmm (No. 123)
Inequivalent atoms, fractional coordinates:
Sr  0.000  0.000  0.000 (multiplicity 1)
Ga  0.500  0.500  0.500 (multiplicity 1)
Co  0.000  0.500  0.000 (multiplicity 2)
Ir  0.000  0.000  0.500 (multiplicity 1)

Output
E_form	2.1725	eV per atom

---

An optimized crystal structure of TaGaCoIr. Source: Alexandria, functional GGA-PBE.

a b c (Å): 3.973 3.973 7.249
angles (deg): 90.00 90.00 90.00
Space group I-4m2 (No. 119)
Inequivalent atoms, fractional coordinates:
Ta  0.000  0.000  0.000 (multiplicity 2)
Ga  0.000  0.000  0.500 (multiplicity 2)
Co  0.000  0.500  0.250 (multiplicity 2)
Ir  0.000  0.500  0.750 (multiplicity 2)

Output
E_form	-0.4523	eV per atom

---

An optimized crystal structure of TbGa4CoIr2. Source: Alexandria, functional GGA-PBE.

a b c (Å): 4.2133 4.2133 25.4045
angles (deg): 90.00 90.00 120.00
Space group R-3m (No. 166, hexagonal axes)
Inequivalent atoms, fractional coordinates:
Tb  0.0000  0.0000  0.0000 (multiplicity 3)
Ga  0.0000  0.0000  0.1335 (multiplicity 6)
Ga  0.0000  0.0000  0.4007 (multiplicity 6)
Co  0.0000  0.0000  0.5000 (multiplicity 3)
Ir  0.0000  0.0000  0.2357 (multiplicity 6)

Output
E_form	-0.5170	eV per atom

---

An optimized crystal structure of Th2Ga4Co3Ir. Source: Alexandria, functional GGA-PBE.

a b c (Å): 4.199 4.199 9.840
angles (deg): 90.00 90.00 90.00
Space group P-4m2 (No. 115)
Inequivalent atoms, fractional coordinates:
Th  0.000  0.500  0.246 (multiplicity 2)
Ga  0.000  0.000  0.500 (multiplicity 1)
Ga  0.000  0.500  0.867 (multiplicity 2)
Ga  0.500  0.500  0.500 (multiplicity 1)
Co  0.000  0.000  0.000 (multiplicity 1)
Co  0.000  0.500  0.628 (multiplicity 2)
Ir  0.500  0.500  0.000 (multiplicity 1)

Output
E_form	-0.5078	eV per atom

---

An optimized crystal structure of TiGaCoIr. Source: Alexandria, functional GGA-PBE.

a b c (Å): 4.038 4.038 6.682
angles (deg): 90.00 90.00 90.00
Space group I-4m2 (No. 119)
Inequivalent atoms, fractional coordinates:
Ti  0.000  0.000  0.000 (multiplicity 2)
Ga  0.000  0.000  0.500 (multiplicity 2)
Co  0.000  0.500  0.750 (multiplicity 2)
Ir  0.000  0.500  0.250 (multiplicity 2)

Output
E_form	-0.6479	eV per atom

---

An optimized crystal structure of TmGa4CoIr2. Source: Alexandria, functional GGA-PBE.

a b c (Å): 4.2060 4.2060 25.0170
angles (deg): 90.00 90.00 120.00
Space group R-3m (No. 166, hexagonal axes)
Inequivalent atoms, fractional coordinates:
Tm  0.0000  0.0000  0.0000 (multiplicity 3)
Ga  0.0000  0.0000  0.1334 (multiplicity 6)
Ga  0.0000  0.0000  0.3989 (multiplicity 6)
Co  0.0000  0.0000  0.5000 (multiplicity 3)
Ir  0.0000  0.0000  0.2375 (multiplicity 6)

Output
E_form	-0.4992	eV per atom

---

An optimized crystal structure of Y2Ga4CoIr3. Source: Alexandria, functional GGA-PBE.

a b c (Å): 4.147 4.147 10.415
angles (deg): 90.00 90.00 90.00
Space group P-4m2 (No. 115)
Inequivalent atoms, fractional coordinates:
Y  0.000  0.500  0.235 (multiplicity 2)
Ga  0.000  0.000  0.500 (multiplicity 1)
Ga  0.000  0.500  0.877 (multiplicity 2)
Ga  0.500  0.500  0.500 (multiplicity 1)
Co  0.500  0.500  0.000 (multiplicity 1)
Ir  0.000  0.000  0.000 (multiplicity 1)
Ir  0.000  0.500  0.640 (multiplicity 2)

Output
E_form	-0.6361	eV per atom

---

An optimized crystal structure of Y2Ga5Co2Ir. Source: Alexandria, functional GGA-PBE.

a b c (Å): 9.132 9.132 3.974
angles (deg): 90.00 90.00 90.00
Space group P4/mbm (No. 127)
Inequivalent atoms, fractional coordinates:
Y  0.183  0.317  0.000 (multiplicity 4)
Ga  0.000  0.500  0.500 (multiplicity 2)
Ga  0.057  0.797  0.500 (multiplicity 8)
Co  0.111  0.611  0.000 (multiplicity 4)
Ir  0.000  0.000  0.000 (multiplicity 2)

Output
E_form	-0.3940	eV per atom

---

An optimized crystal structure of K3GaCo. Source: Alexandria, functional GGA-PBE.

a b c (Å): 6.426 6.426 6.426
angles (deg): 90.00 90.00 90.00
Space group Pm-3m (No. 221)
Inequivalent atoms, fractional coordinates:
K  0.000  0.000  0.500 (multiplicity 3)
Ga  0.000  0.000  0.000 (multiplicity 1)
Co  0.500  0.500  0.500 (multiplicity 1)

Output
E_form	0.9132	eV per atom
energy above the most stable polymorph in this dataset	0.0	meV/atom

---

An optimized crystal structure of KGa2Co. Source: Alexandria, functional GGA-PBE.

a b c (Å): 6.765 6.765 6.765
angles (deg): 90.00 90.00 90.00
Space group Fm-3m (No. 225)
Inequivalent atoms, fractional coordinates:
K  0.000  0.000  0.000 (multiplicity 4)
Ga  0.250  0.250  0.250 (multiplicity 8)
Co  0.000  0.000  0.500 (multiplicity 4)

Output
E_form	0.5583	eV per atom

---

An optimized crystal structure of KGa3Co. Source: Alexandria, functional GGA-PBE.

a b c (Å): 4.694 4.694 4.694
angles (deg): 90.00 90.00 90.00
Space group Pm-3m (No. 221)
Inequivalent atoms, fractional coordinates:
K  0.000  0.000  0.000 (multiplicity 1)
Ga  0.000  0.500  0.500 (multiplicity 3)
Co  0.500  0.500  0.500 (multiplicity 1)

Output
E_form	-0.1502	eV per atom
energy above the most stable polymorph in this dataset	0.0	meV/atom

---

An optimized crystal structure of KGa3Co. Source: Alexandria, functional GGA-PBE.

a b c (Å): 5.607 5.607 5.607
angles (deg): 90.00 90.00 90.00
Space group Pm-3m (No. 221)
Inequivalent atoms, fractional coordinates:
K  0.000  0.000  0.000 (multiplicity 1)
Ga  0.000  0.000  0.500 (multiplicity 3)
Co  0.500  0.500  0.500 (multiplicity 1)

Output
E_form	1.6655	eV per atom
energy above the most stable polymorph in this dataset	1815.7	meV/atom

---

An optimized crystal structure of KGa2Co. Source: Alexandria, functional GGA-PBE.

a b c (Å): 5.916 5.916 13.513
angles (deg): 90.00 90.00 90.00
Space group I4_1/amd (No. 141, origin choice 2)
Inequivalent atoms, fractional coordinates:
K  0.000  0.250  0.375 (multiplicity 4)
Ga  0.000  0.000  0.000 (multiplicity 8)
Co  0.000  0.250  0.875 (multiplicity 4)

Output
E_form	0.0928	eV per atom

---

An optimized crystal structure of KLiGa2Co. Source: Alexandria, functional GGA-PBE.

a b c (Å): 4.606 4.606 5.061
angles (deg): 90.00 90.00 90.00
Space group P4/mmm (No. 123)
Inequivalent atoms, fractional coordinates:
K  0.000  0.000  0.000 (multiplicity 1)
Li  0.500  0.500  0.000 (multiplicity 1)
Ga  0.000  0.500  0.500 (multiplicity 2)
Co  0.500  0.500  0.500 (multiplicity 1)

Output
E_form	-0.0812	eV per atom

---

An optimized crystal structure of KMgGa2Co. Source: Alexandria, functional GGA-PBE.

a b c (Å): 4.673 4.673 4.965
angles (deg): 90.00 90.00 90.00
Space group P4/mmm (No. 123)
Inequivalent atoms, fractional coordinates:
K  0.000  0.000  0.000 (multiplicity 1)
Mg  0.500  0.500  0.000 (multiplicity 1)
Ga  0.000  0.500  0.500 (multiplicity 2)
Co  0.500  0.500  0.500 (multiplicity 1)

Output
E_form	-0.1175	eV per atom